A geometry-optimized GaReTc2 structure. Source: Alexandria via LeMat-Bulk, functional PBE-GGA.

Properties
* excess energy over the best structure of this formula in the dataset: 45 kJ/mol of formula units
* mass density: 12.793 g/cm³
* DFT total energy: -8.990 eV per atom
* E_form: 0.06 eV per atom

The structure in CIF format:
```
data_GaReTc2
_chemical_formula_sum 'Ga1 Re1 Tc2'
_symmetry_space_group_name_H-M 'P 4/m m m'
_symmetry_Int_Tables_number 123
_symmetry_space_group_name_Hall '-P 4 2'
_cell_length_a 4.368
_cell_length_b 4.368
_cell_length_c 3.074
_cell_angle_alpha 90.00
_cell_angle_beta 90.00
_cell_angle_gamma 90.00
loop_
_atom_site_label
_atom_site_type_symbol
_atom_site_fract_x
_atom_site_fract_y
_atom_site_fract_z
Ga1 Ga 0.000 0.000 0.000
Re1 Re 0.500 0.500 0.000
Tc1 Tc 0.000 0.500 0.500
```